# ZrAl3 | Alexandria via LeMat-Bulk | PBE-GGA | optimized geometry
# **Density of states at the Fermi level**: 1.5 states/eV/f.u.
# **Energy of formation**: -241.6 meV per atom
data_ZrAl3
_chemical_formula_sum 'Zr1 Al3'
_symmetry_space_group_name_H-M 'P m m 2'
_symmetry_Int_Tables_number 25
_cell_length_a 2.8511
_cell_length_b 4.9589
_cell_length_c 5.1509
_cell_angle_alpha 90.00
_cell_angle_beta 90.00
_cell_angle_gamma 90.00
loop_
_symmetry_equiv_pos_as_xyz
'x,y,z'
'-x,-y,z'
'-x,y,z'
'x,-y,z'
loop_
_atom_site_label
_atom_site_type_symbol
_atom_site_fract_x
_atom_site_fract_y
_atom_site_fract_z
Zr1 Zr 0.0000 0.0000 0.0000
Al1 Al 0.0000 0.5000 0.6754
Al2 Al 0.5000 0.0000 0.4997
Al3 Al 0.5000 0.5000 0.1801